No. 1
CuSi2Te8 after structural relaxation. Source: Alexandria via LeMat-Bulk, functional PBE-GGA.

The structure belongs to space group C2/m (No. 12); the cell edges are 11.262, 11.340 and 6.027 Å and the angles 90.00°, 105.53° and 90.00°. The asymmetric unit holds Cu at (0.000, 0.000, 0.000), Si at (0.210, 0.000, 0.631), Te at (0.055, 0.500, 0.246), Te at (0.082, 0.176, 0.724) and Te at (0.233, 0.000, 0.227).

As for the volume: 370.8 Å³/f.u. The value obtained for the density is 5.108 Mg/m³. The value obtained for the spin magnetization is 0.00 μB/f.u. The energy relative to the elements, uncorrected is 0.09 eV per atom.



No. 2
Cu3SiTe4 after structural relaxation. Source: Alexandria via LeMat-Bulk, functional PBE-GGA.

The structure belongs to space group I-42m (No. 121); the cell edges are 5.934, 5.934 and 11.951 Å and the angles 90.00°, 90.00° and 90.00°. The asymmetric unit holds Cu at (0.000, 0.000, 0.000), Cu at (0.000, 0.500, 0.250), Si at (0.000, 0.000, 0.500) and Te at (0.250, 0.250, 0.126).

As for the volume: 210.4 Å³/f.u. The excess energy over the best structure of this formula in the dataset comes out at 0 meV/atom. The value obtained for the density is 5.755 Mg/m³. The value obtained for the spin magnetization is 0.00 μB/f.u. The energy relative to the elements, uncorrected is -0.10 eV per atom.



No. 3
Cu4SiTe5 after structural relaxation. Source: Alexandria via LeMat-Bulk, functional PBE-GGA.

The structure belongs to space group R3m (No. 160, hexagonal axes); the cell edges are 4.2656, 4.2656 and 50.4917 Å and the angles 90.00°, 90.00° and 120.00°. The asymmetric unit holds Cu at (0.0000, 0.0000, 0.0000), Cu at (0.0000, 0.0000, 0.1959), Cu at (0.0000, 0.0000, 0.3989), Cu at (0.0000, 0.0000, 0.7982), Si at (0.0000, 0.0000, 0.6037), Te at (0.0000, 0.0000, 0.0509), Te at (0.0000, 0.0000, 0.2475), Te at (0.0000, 0.0000, 0.4497), Te at (0.0000, 0.0000, 0.6537) and Te at (0.0000, 0.0000, 0.8491).

As for the volume: 265.2 Å³/f.u. The value obtained for the density is 5.762 Mg/m³. The value obtained for the spin magnetization is 0.00 μB/f.u. The energy relative to the elements, uncorrected is 0.02 eV per atom.



No. 4
CuSiTe3 after structural relaxation. Source: Alexandria via LeMat-Bulk, functional PBE-GGA.

The structure belongs to space group Pm-3m (No. 221); the cell edges are 5.092, 5.092 and 5.092 Å and the angles 90.00°, 90.00° and 90.00°. The asymmetric unit holds Cu at (0.000, 0.000, 0.000), Si at (0.500, 0.500, 0.500) and Te at (0.000, 0.000, 0.500).

As for the volume: 132.0 Å³/f.u. The excess energy over the best structure of this formula in the dataset comes out at 547 meV/atom. The value obtained for the density is 5.968 Mg/m³. The value obtained for the spin magnetization is 0.00 μB/f.u. The energy relative to the elements, uncorrected is 0.64 eV per atom.



Taking the records one at a time from the top gives energy values of -3.552 -3.885 -3.730 -3.148 eV/atom.